This record from Alexandria via LeMat-Bulk describes a relaxed TcP2OsO crystal. The functional is PBE.

abc: 4.765 4.765 3.624
angles: 90.00 90.00 90.00
Last column: magnetic moment on the atom in μB.
Fractional coordinates of all 5 atoms:
O (0.000, 0.000, 0.500)  0.06
P (0.500, 0.000, 0.000)  -0.08
P (0.000, 0.500, 0.000)  -0.08
Os (0.000, 0.000, 0.000)  0.03
Tc (0.500, 0.500, 0.500)  2.69

Computed properties:
SG: P4/mmm (123)
Magnetic moment, μB/cell: 2.888
Raw formation energy, meV per atom: 521
Mass density, g cm⁻³: 7.39
D(E_F), states/eV/f.u.: 3.800
ΔE to the lowest computed polymorph, eV per atom: 0.000
Final energy, eV/cell: -34.8